Record 1
# meta-GGA SCAN AlAs2Br, PBEsol geometry
# * energy relative to the elements, uncorrected: 1.64 eV per formula unit
# * space group: F-43m, No. 216
# * DOS(E_F): 1.97 states/eV per cell
# * calculated volume: 77.41 Å³/cell
# * relative energy among the computed polymorphs: 384 meV per atom
# * electronic total energy: -16.487 eV/atom
data_AlAs2Br
_chemical_formula_sum 'Al1 As2 Br1'
_space_group_name_H-M_alt 'P 1'
_space_group_IT_number 1
_space_group_name_Hall 'P 1'
_cell_length_a 4.784
_cell_length_b 4.784
_cell_length_c 4.784
_cell_angle_alpha 60.00
_cell_angle_beta 60.00
_cell_angle_gamma 60.00
loop_
_atom_site_label
_atom_site_type_symbol
_atom_site_fract_x
_atom_site_fract_y
_atom_site_fract_z
_atom_site_occupancy
As1 As 0.000 0.000 0.000 1
As2 As 0.250 0.250 0.250 1
Al1 Al 0.500 0.500 0.500 1
Br1 Br 0.750 0.750 0.750 1

Record 2
# meta-GGA SCAN KTl2Au, PBEsol geometry
# * space group: R3m, No. 160
# * DOS(E_F): 2.30 states/eV per cell
# * calculated volume: 120.99 Å³/cell
# * electronic total energy: -55.764 eV/atom
data_KTl2Au
_chemical_formula_sum 'K1 Tl2 Au1'
_space_group_name_H-M_alt 'P 1'
_space_group_IT_number 1
_space_group_name_Hall 'P 1'
_cell_length_a 4.728
_cell_length_b 4.726
_cell_length_c 6.823
_cell_angle_alpha 69.75
_cell_angle_beta 69.73
_cell_angle_gamma 59.98
loop_
_atom_site_label
_atom_site_type_symbol
_atom_site_fract_x
_atom_site_fract_y
_atom_site_fract_z
_atom_site_occupancy
Tl1 Tl 0.971 0.970 0.089 1
Tl2 Tl 0.198 0.198 0.405 1
Au1 Au 0.576 0.576 0.271 1
K1 K 0.755 0.755 0.735 1